Computed, not measured: a geometry-optimized YSi2N structure at the PBE-GGA level of DFT.

Geometry as POSCAR:
```
YSi2N
1.0
0.6788 -2.8402 3.5442
-3.2771 -0.5376 3.1719
-2.3244 -3.9525 0.2529
Y Si N
1 2 1
Direct
0.5000 0.5000 0.5000
0.7500 0.7500 0.7500
0.2500 0.2500 0.2500
0.0000 0.0000 0.0000
```

energy relative to the elements, uncorrected: 105.0 kJ/mol of atoms
N(E_F): 0.9475 states/eV/atom

Computed, not measured: a geometry-optimized Y3Si6N11 structure at the PBE-GGA level of DFT.

Geometry as POSCAR:
```
Y3Si6N11
1.0
-8.6315 -2.7704 -4.1483
1.8612 -9.4803 2.4587
-2.2704 0.6644 4.2804
Si N Y
12 22 6
Direct
0.3808 0.1192 0.0452
0.7078 0.4196 0.5326
0.2078 0.0804 0.5326
0.8808 0.3808 0.0452
0.6192 0.8808 0.0452
0.2922 0.5804 0.5326
0.9196 0.2078 0.5326
0.1192 0.6192 0.0452
0.4196 0.2922 0.5326
0.5804 0.7078 0.5326
0.0804 0.7922 0.5326
0.7922 0.9196 0.5326
0.1534 0.6534 0.6979
0.0796 0.7768 0.1786
0.9204 0.2232 0.1786
0.5000 0.0000 0.0739
0.7768 0.9204 0.1786
0.4204 0.2768 0.1786
0.7232 0.4204 0.1786
0.6813 0.5787 0.6548
0.0787 0.1813 0.6548
0.5796 0.7232 0.1786
0.4213 0.6813 0.6548
0.6534 0.8466 0.6979
0.5787 0.3187 0.6548
0.2768 0.5796 0.1786
0.0000 0.5000 0.0739
0.1813 0.9213 0.6548
0.9213 0.8187 0.6548
0.2232 0.0796 0.1786
0.3187 0.4213 0.6548
0.8187 0.0787 0.6548
0.3466 0.1534 0.6979
0.8466 0.3466 0.6979
0.5000 0.5000 0.9744
0.6829 0.1829 0.9851
0.8171 0.6829 0.9851
0.1829 0.3171 0.9851
0.0000 0.0000 0.9744
0.3171 0.8171 0.9851
```

energy relative to the elements, uncorrected: -127.2 kJ/mol of atoms
N(E_F): 0.0000 states/eV/atom

Computed, not measured: a geometry-optimized YSi2N structure at the PBE-GGA level of DFT.

Geometry as POSCAR:
```
YSi2N
1.0
6.2228 0.0000 0.0000
0.0000 6.2228 0.0000
3.1114 3.1114 3.5126
Si Y N
4 2 2
Direct
0.2513 0.6250 0.2500
0.8750 0.7487 0.7500
0.3750 0.5013 0.7500
0.4987 0.1250 0.2500
0.7500 0.2500 0.5000
0.0000 0.0000 0.0000
0.5000 0.5000 0.0000
0.2500 0.7500 0.5000
```

energy relative to the elements, uncorrected: -4.8 kJ/mol of atoms
N(E_F): 0.6963 states/eV/atom

Computed, not measured: a geometry-optimized Zn2SiN structure at the PBE-GGA level of DFT.

Geometry as POSCAR:
```
Zn2SiN
1.0
1.8559 -3.7590 -0.6683
-1.2661 -2.4482 -3.2287
2.5287 -0.5503 -3.3651
Si N Zn
1 1 2
Direct
0.5000 0.5000 0.5000
0.0000 0.0000 0.0000
0.2500 0.2500 0.2500
0.7500 0.7500 0.7500
```

energy relative to the elements, uncorrected: 107.1 kJ/mol of atoms
N(E_F): 0.7667 states/eV/atom

Computed, not measured: a geometry-optimized Zn4SiN4 structure at the PBE-GGA level of DFT.

Geometry as POSCAR:
```
Zn4SiN4
1.0
-4.9909 -2.5084 -0.3109
2.4802 -3.5290 -3.5626
1.6162 -3.8248 4.9138
Zn N Si
8 8 2
Direct
0.1675 0.8325 0.0000
0.8325 0.1675 0.0000
0.8682 0.5677 0.7500
0.1318 0.4323 0.2500
0.4323 0.1318 0.2500
0.8325 0.1675 0.5000
0.1675 0.8325 0.5000
0.5677 0.8682 0.7500
0.2073 0.2073 0.5159
0.6383 0.2638 0.7500
0.7927 0.7927 0.0159
0.2073 0.2073 0.9841
0.7362 0.3617 0.2500
0.3617 0.7362 0.2500
0.2638 0.6383 0.7500
0.7927 0.7927 0.4841
0.3332 0.3332 0.7500
0.6668 0.6668 0.2500
```

energy relative to the elements, uncorrected: -17.6 kJ/mol of atoms

Computed, not measured: a geometry-optimized Zn3SiN4 structure at the PBE-GGA level of DFT.

Geometry as POSCAR:
```
Zn3SiN4
1.0
4.4951 0.0000 0.0000
0.0000 4.4951 0.0000
0.0000 0.0000 4.4951
N Zn Si
4 3 1
Direct
0.2259 0.2259 0.2259
0.7741 0.7741 0.2259
0.2259 0.7741 0.7741
0.7741 0.2259 0.7741
0.0000 0.5000 0.5000
0.5000 0.5000 0.0000
0.5000 0.0000 0.5000
0.0000 0.0000 0.0000
```

energy relative to the elements, uncorrected: -8.1 kJ/mol of atoms
N(E_F): 0.7093 states/eV/atom

Computed, not measured: a geometry-optimized Zn2SiN structure at the PBE-GGA level of DFT.

Geometry as POSCAR:
```
Zn2SiN
1.0
-0.4291 0.5047 5.4871
4.7803 -2.7033 0.6225
4.2596 2.5461 2.8824
Zn N Si
4 2 2
Direct
0.8750 0.7843 0.7500
0.5343 0.1250 0.2500
0.2157 0.6250 0.2500
0.3750 0.4657 0.7500
0.2500 0.7500 0.5000
0.5000 0.5000 0.0000
0.0000 0.0000 0.0000
0.7500 0.2500 0.5000
```

energy relative to the elements, uncorrected: 42.6 kJ/mol of atoms
N(E_F): 0.2654 states/eV/atom

Computed, not measured: a geometry-optimized ZnSiN structure at the PBE-GGA level of DFT.

Geometry as POSCAR:
```
ZnSiN
1.0
-1.8697 -1.8170 -1.3311
0.9709 -4.2750 4.4821
-5.6644 -0.3639 2.0390
Zn N Si
2 2 2
Direct
0.7746 0.3346 0.4749
0.2254 0.6654 0.5251
0.4308 0.0981 0.8187
0.5692 0.9019 0.1813
0.0750 0.0723 0.1758
0.9250 0.9277 0.8242
```

energy relative to the elements, uncorrected: -21.3 kJ/mol of atoms
N(E_F): 0.1088 states/eV/atom

Computed, not measured: a geometry-optimized ZrZnSi2N structure at the PBE-GGA level of DFT.

Geometry as POSCAR:
```
ZrZnSi2N
1.0
-1.5496 -3.0521 2.4668
-0.0070 -3.3652 -4.1680
3.9244 -1.2089 0.9695
Zn Si Zr N
1 2 1 1
Direct
0.0000 0.0000 0.0000
0.5000 0.0000 0.0000
0.0000 0.0000 0.5000
0.0000 0.5000 0.0000
0.5000 0.5000 0.5000
```

energy relative to the elements, uncorrected: 143.4 kJ/mol of atoms
N(E_F): 0.7847 states/eV/atom

Computed, not measured: a geometry-optimized Zr2SiN structure at the PBE-GGA level of DFT.

Geometry as POSCAR:
```
Zr2SiN
1.0
6.3863 0.0000 0.0000
0.0000 6.3863 0.0000
3.1931 3.1931 3.4486
Zr Si N
4 2 2
Direct
0.2017 0.6250 0.2500
0.3750 0.4517 0.7500
0.8750 0.7983 0.7500
0.5483 0.1250 0.2500
0.0000 0.0000 0.0000
0.7500 0.2500 0.5000
0.5000 0.5000 0.0000
0.2500 0.7500 0.5000
```

energy relative to the elements, uncorrected: -73.2 kJ/mol of atoms
N(E_F): 0.3581 states/eV/atom

Computed, not measured: a geometry-optimized ZrSiN3 structure at the PBE-GGA level of DFT.

Geometry as POSCAR:
```
ZrSiN3
1.0
3.6001 0.0000 0.0000
0.0000 3.6001 0.0000
0.0000 0.0000 3.6001
N Si Zr
3 1 1
Direct
0.0000 0.5000 0.0000
0.5000 0.0000 0.0000
0.0000 0.0000 0.5000
0.0000 0.0000 0.0000
0.5000 0.5000 0.5000
```

energy relative to the elements, uncorrected: -49.1 kJ/mol of atoms
N(E_F): 0.5606 states/eV/atom

Computed, not measured: a geometry-optimized ZrSi3N structure at the PBE-GGA level of DFT.

Geometry as POSCAR:
```
ZrSi3N
1.0
5.1186 0.0000 0.0000
0.0000 5.1186 0.0000
0.0000 0.0000 5.1186
N Zr Si
1 1 3
Direct
0.5000 0.5000 0.5000
0.0000 0.0000 0.0000
0.5000 0.0000 0.0000
0.0000 0.5000 0.0000
0.0000 0.0000 0.5000
```

energy relative to the elements, uncorrected: 173.7 kJ/mol of atoms
N(E_F): 0.3815 states/eV/atom

Computed, not measured: a geometry-optimized Zr4SiN2 structure at the PBE-GGA level of DFT.

Geometry as POSCAR:
```
Zr4SiN2
1.0
3.4466 0.0000 0.0000
-1.7233 5.4884 0.0000
0.0000 0.0000 11.5249
Si N Zr
2 4 8
Direct
0.6090 0.2181 0.7500
0.3910 0.7819 0.2500
0.1336 0.2672 0.0624
0.8664 0.7328 0.9376
0.1336 0.2672 0.4376
0.8664 0.7328 0.5624
0.2335 0.4670 0.6079
0.2335 0.4670 0.8921
0.9256 0.8512 0.7500
0.7665 0.5330 0.1079
0.5000 0.0000 0.5000
0.7665 0.5330 0.3921
0.0744 0.1488 0.2500
0.5000 0.0000 0.0000
```

energy relative to the elements, uncorrected: -122.9 kJ/mol of atoms
N(E_F): 0.3549 states/eV/atom

Computed, not measured: a geometry-optimized Zr5Si3N structure at the PBE-GGA level of DFT.

Geometry as POSCAR:
```
Zr5Si3N
1.0
7.9445 0.0000 0.0000
-3.9722 6.8801 0.0000
0.0000 0.0000 5.6435
Si Zr N
6 10 2
Direct
0.4053 0.0000 0.2500
0.0000 0.4053 0.2500
0.5947 0.5947 0.2500
0.5947 0.0000 0.7500
0.4053 0.4053 0.7500
0.0000 0.5947 0.7500
0.7663 0.0000 0.2500
0.3333 0.6667 0.5000
0.7663 0.7663 0.7500
0.0000 0.2337 0.7500
0.0000 0.7663 0.2500
0.6667 0.3333 0.5000
0.2337 0.0000 0.7500
0.6667 0.3333 0.0000
0.3333 0.6667 0.0000
0.2337 0.2337 0.2500
0.0000 0.0000 0.5000
0.0000 0.0000 0.0000
```

energy relative to the elements, uncorrected: -103.5 kJ/mol of atoms
N(E_F): 0.6322 states/eV/atom

Computed, not measured: a geometry-optimized Zr2SiN structure at the PBE-GGA level of DFT.

Geometry as POSCAR:
```
Zr2SiN
1.0
-3.1380 -0.0130 0.9767
-2.3932 -0.6111 -2.1679
-1.3906 -6.8348 0.9707
Zr Si N
2 1 1
Direct
0.2287 0.2287 0.3139
0.7713 0.7713 0.6861
0.0000 0.0000 0.0000
0.5000 0.5000 0.5000
```

energy relative to the elements, uncorrected: -100.1 kJ/mol of atoms
N(E_F): 0.4315 states/eV/atom

Computed, not measured: a geometry-optimized ZrSi2N structure at the PBE-GGA level of DFT.

Geometry as POSCAR:
```
ZrSi2N
1.0
-3.4654 4.0427 2.6363
-3.9791 -4.2299 1.2560
-2.1429 -0.6909 4.9381
Si N Zr
4 2 2
Direct
0.5126 0.1250 0.2500
0.2374 0.6250 0.2500
0.8750 0.7626 0.7500
0.3750 0.4874 0.7500
0.5000 0.5000 0.0000
0.2500 0.7500 0.5000
0.0000 0.0000 0.0000
0.7500 0.2500 0.5000
```

energy relative to the elements, uncorrected: -6.1 kJ/mol of atoms
N(E_F): 0.6280 states/eV/atom

Computed, not measured: a geometry-optimized ZrSiN3 structure at the PBE-GGA level of DFT.

Geometry as POSCAR:
```
ZrSiN3
1.0
-3.7956 0.7920 -1.6690
-1.6704 -3.1002 2.3278
-0.7890 2.7535 3.1009
Si N Zr
1 3 1
Direct
0.5000 0.5000 0.5000
0.0000 0.5000 0.0000
0.0000 0.0000 0.5000
0.5000 0.0000 0.0000
0.0000 0.0000 0.0000
```

energy relative to the elements, uncorrected: 99.4 kJ/mol of atoms
N(E_F): 0.4657 states/eV/atom

Computed, not measured: a geometry-optimized Zr3SiN structure at the PBE-GGA level of DFT.

Geometry as POSCAR:
```
Zr3SiN
1.0
4.4332 0.0000 0.0000
0.0000 4.4332 0.0000
0.0000 0.0000 4.4332
Si Zr N
1 3 1
Direct
0.5000 0.5000 0.5000
0.0000 0.0000 0.5000
0.5000 0.0000 0.0000
0.0000 0.5000 0.0000
0.0000 0.0000 0.0000
```

energy relative to the elements, uncorrected: -74.9 kJ/mol of atoms
N(E_F): 1.5908 states/eV/atom

Computed, not measured: a geometry-optimized Zr2SiN structure at the PBE-GGA level of DFT.

Geometry as POSCAR:
```
Zr2SiN
1.0
-4.4421 -0.4980 -0.1724
-2.6725 3.5326 0.6232
-2.3086 1.6922 -3.4376
N Si Zr
1 1 2
Direct
0.0000 0.0000 0.0000
0.5000 0.5000 0.5000
0.7500 0.7500 0.7500
0.2500 0.2500 0.2500
```

energy relative to the elements, uncorrected: -1.9 kJ/mol of atoms
N(E_F): 0.9357 states/eV/atom

Computed, not measured: a geometry-optimized ZrSi3N structure at the PBE-GGA level of DFT.

Geometry as POSCAR:
```
ZrSi3N
1.0
4.0987 0.0000 0.0000
0.0000 4.0987 0.0000
0.0000 0.0000 4.0987
Si Zr N
3 1 1
Direct
0.0000 0.5000 0.0000
0.0000 0.0000 0.5000
0.5000 0.0000 0.0000
0.5000 0.5000 0.5000
0.0000 0.0000 0.0000
```

energy relative to the elements, uncorrected: 15.9 kJ/mol of atoms
N(E_F): 0.3462 states/eV/atom

| no. | total moment (μB/f.u.) |
| --- | --- |
| 1 | 0.0 |
| 2 | 0.0 |
| 3 | 0.0 |
| 4 | 0.0 |
| 5 | 0.0 |
| 6 | 0.3 |
| 7 | 0.0 |
| 8 | 0.0 |
| 9 | 0.0 |
| 10 | 0.0 |
| 11 | 0.0 |
| 12 | 3.0 |
| 13 | 0.0 |
| 14 | 0.0 |
| 15 | 0.0 |
| 16 | 0.0 |
| 17 | 3.0 |
| 18 | 0.0 |
| 19 | 0.0 |
| 20 | 0.0 |